No. 1
{"formula": "Al2In2Ge", "functional": "GGA-PBE", "state": "optimized geometry", "energy_ev_per_atom": -3.35, "de_polymorph_ev_per_atom": 0.000, "e_form_ev_per_atom": 0.165, "volume_a3_per_atom": 22.48, "lattice": [[6.902, 0.000, 0.000], [0.000, 6.902, 0.000], [0.000, 0.000, 4.719]], "species": ["Ge", "Ge", "Al", "Al", "Al", "Al", "In", "In", "In", "In"], "frac_coords": [[0.000, 0.000, 0.000], [0.500, 0.500, 0.000], [0.363, 0.863, 0.000], [0.863, 0.637, 0.000], [0.637, 0.137, 0.000], [0.137, 0.363, 0.000], [0.175, 0.675, 0.500], [0.675, 0.825, 0.500], [0.825, 0.325, 0.500], [0.325, 0.175, 0.500]]}


No. 2
{"formula": "TaTlZn2", "functional": "GGA-PBE", "state": "optimized geometry", "energy_ev_per_atom": -3.90, "de_polymorph_ev_per_atom": 0.086, "e_form_ev_per_atom": 0.293, "volume_a3_per_atom": 18.34, "lattice": [[-3.865, -2.680, -2.139], [3.956, 0.577, -3.273], [1.193, -2.544, 0.923]], "species": ["Ta", "Tl", "Zn", "Zn"], "frac_coords": [[0.500, 0.000, 0.500], [0.000, 0.500, 0.500], [0.000, 0.000, 0.000], [0.500, 0.500, 0.000]]}


M_tot (μB per atom)
0.000 0.000